VASP calculation (PBE) on an optimized crystal structure of PrNd2Sm5Y.

Unit cell a=8.880 b=8.880 c=15.823 alpha=90.00 beta=90.00 gamma=90.00
Space group I4/mcm (No. 140)
One atom of each set of equivalent atoms:
1 Pr 0.000 0.000 0.250 x4
2 Nd 0.117 0.383 0.000 x8
3 Sm 0.000 0.000 0.000 x4
4 Sm 0.211 0.289 0.362 x16
5 Y 0.000 0.500 0.250 x4

Values from the calculation:
E_form ... 0.26 eV per atom
N(E_F) ... 12.79 states/eV/f.u.
Crystal system ... tetragonal
Size of the total moment ... 0.000 μB per atom
Uncorrected energy ... -4.6663 eV/atom

VASP calculation (PBE) on an optimized crystal structure of PrNd2Sm2Y.

Unit cell a=6.780 b=18.072 c=3.448 alpha=90.00 beta=90.00 gamma=90.00
Space group Pnnm (No. 58)
One atom of each set of equivalent atoms:
1 Pr 0.000 0.000 0.000 x2
2 Nd 0.235 0.318 0.000 x4
3 Sm 0.231 0.149 0.500 x4
4 Y 0.000 0.500 0.000 x2

Values from the calculation:
E_form ... 0.25 eV per atom
N(E_F) ... 10.50 states/eV/f.u.
Crystal system ... orthorhombic
Size of the total moment ... 0.000 μB per atom
Uncorrected energy ... -4.7911 eV/atom

VASP calculation (PBE) on an optimized crystal structure of Pr6Nd3SmY2.

Unit cell a=6.382 b=11.062 c=12.134 alpha=90.00 beta=100.13 gamma=90.00
Space group C2/m (No. 12)
One atom of each set of equivalent atoms:
1 Pr 0.249 0.167 0.247 x8
2 Pr 0.250 0.000 0.753 x4
3 Nd 0.000 0.167 0.500 x4
4 Nd 0.000 0.500 0.500 x2
5 Sm 0.000 0.000 0.000 x2
6 Y 0.000 0.333 0.000 x4

Values from the calculation:
E_form ... 0.01 eV per atom
N(E_F) ... 17.00 states/eV/f.u.
Crystal system ... monoclinic
Size of the total moment ... 0.000 μB per atom
Uncorrected energy ... -5.0415 eV/atom

VASP calculation (PBE) on an optimized crystal structure of Pr5NdSmY2.

Unit cell a=8.800 b=8.800 c=16.513 alpha=90.00 beta=90.00 gamma=90.00
Space group I4/mcm (No. 140)
One atom of each set of equivalent atoms:
1 Pr 0.000 0.000 0.000 x4
2 Pr 0.202 0.298 0.140 x16
3 Nd 0.000 0.500 0.250 x4
4 Sm 0.000 0.000 0.250 x4
5 Y 0.122 0.378 0.500 x8

Values from the calculation:
E_form ... 0.29 eV per atom
N(E_F) ... 15.22 states/eV/f.u.
Crystal system ... tetragonal
Size of the total moment ... 0.000 μB per atom
Uncorrected energy ... -4.8590 eV/atom

VASP calculation (PBE) on an optimized crystal structure of Pr6Nd3Sm2Y.

Unit cell a=6.390 b=11.070 c=12.172 alpha=90.00 beta=100.11 gamma=90.00
Space group C2/m (No. 12)
One atom of each set of equivalent atoms:
1 Pr 0.249 0.000 0.248 x4
2 Pr 0.250 0.167 0.752 x8
3 Nd 0.000 0.000 0.500 x2
4 Nd 0.000 0.333 0.500 x4
5 Sm 0.000 0.167 0.000 x4
6 Y 0.000 0.500 0.000 x2

Values from the calculation:
E_form ... 0.01 eV per atom
N(E_F) ... 17.84 states/eV/f.u.
Crystal system ... monoclinic
Size of the total moment ... 0.000 μB per atom
Uncorrected energy ... -4.8956 eV/atom

VASP calculation (PBE) on an optimized crystal structure of PrNd6SmY2.

Unit cell a=9.448 b=15.340 c=9.724 alpha=90.00 beta=96.79 gamma=90.00
Space group C2/c (No. 15)
One atom of each set of equivalent atoms:
1 Pr 0.000 0.093 0.250 x4
2 Nd 0.066 0.326 0.442 x8
3 Nd 0.094 0.111 0.618 x8
4 Nd 0.211 0.274 0.817 x8
5 Sm 0.000 0.466 0.750 x4
6 Y 0.246 0.453 0.050 x8

Values from the calculation:
E_form ... 0.11 eV per atom
N(E_F) ... 15.06 states/eV/f.u.
Crystal system ... monoclinic
Size of the total moment ... 0.000 μB per atom
Uncorrected energy ... -4.9890 eV/atom

VASP calculation (PBE) on an optimized crystal structure of Pr6Nd2SmY.

Unit cell a=9.309 b=15.555 c=9.984 alpha=90.00 beta=98.76 gamma=90.00
Space group C2/c (No. 15)
One atom of each set of equivalent atoms:
1 Pr 0.065 0.183 0.446 x8
2 Pr 0.101 0.395 0.620 x8
3 Pr 0.207 0.222 0.813 x8
4 Nd 0.245 0.049 0.043 x8
5 Sm 0.000 0.020 0.750 x4
6 Y 0.000 0.408 0.250 x4

Values from the calculation:
E_form ... 0.11 eV per atom
N(E_F) ... 15.07 states/eV/f.u.
Crystal system ... monoclinic
Size of the total moment ... 0.000 μB per atom
Uncorrected energy ... -4.8322 eV/atom

VASP calculation (PBE) on an optimized crystal structure of PrNd2Sm6Y3.

Unit cell a=6.296 b=10.906 c=12.029 alpha=90.00 beta=100.04 gamma=90.00
Space group C2/m (No. 12)
One atom of each set of equivalent atoms:
1 Pr 0.000 0.000 0.000 x2
2 Nd 0.000 0.333 0.000 x4
3 Sm 0.249 0.000 0.747 x4
4 Sm 0.249 0.333 0.747 x8
5 Y 0.000 0.167 0.500 x4
6 Y 0.000 0.500 0.500 x2

Values from the calculation:
E_form ... 0.01 eV per atom
N(E_F) ... 17.12 states/eV/f.u.
Crystal system ... monoclinic
Size of the total moment ... 0.000 μB per atom
Uncorrected energy ... -5.1536 eV/atom

VASP calculation (PBE) on an optimized crystal structure of Pr5Nd2SmY.

Unit cell a=8.851 b=8.851 c=16.474 alpha=90.00 beta=90.00 gamma=90.00
Space group I4/mcm (No. 140)
One atom of each set of equivalent atoms:
1 Pr 0.000 0.000 0.000 x4
2 Pr 0.215 0.285 0.141 x16
3 Nd 0.119 0.381 0.500 x8
4 Sm 0.000 0.000 0.250 x4
5 Y 0.000 0.500 0.250 x4

Values from the calculation:
E_form ... 0.27 eV per atom
N(E_F) ... 15.38 states/eV/f.u.
Crystal system ... tetragonal
Size of the total moment ... 0.000 μB per atom
Uncorrected energy ... -4.6881 eV/atom

VASP calculation (PBE) on an optimized crystal structure of Pr6NdSm2Y3.

Unit cell a=6.362 b=11.023 c=12.047 alpha=90.00 beta=100.12 gamma=90.00
Space group C2/m (No. 12)
One atom of each set of equivalent atoms:
1 Pr 0.249 0.000 0.248 x4
2 Pr 0.249 0.333 0.248 x8
3 Nd 0.000 0.000 0.500 x2
4 Sm 0.000 0.333 0.500 x4
5 Y 0.000 0.167 0.000 x4
6 Y 0.000 0.500 0.000 x2

Values from the calculation:
E_form ... 0.01 eV per atom
N(E_F) ... 15.40 states/eV/f.u.
Crystal system ... monoclinic
Size of the total moment ... 0.000 μB per atom
Uncorrected energy ... -5.1803 eV/atom

VASP calculation (PBE) on an optimized crystal structure of Pr2Nd2SmY6.

Unit cell a=5.781 b=12.209 c=10.632 alpha=90.00 beta=90.00 gamma=90.00
Space group Cmmm (No. 65)
One atom of each set of equivalent atoms:
1 Pr 0.000 0.209 0.000 x4
2 Nd 0.000 0.130 0.500 x4
3 Sm 0.000 0.500 0.000 x2
4 Y 0.000 0.000 0.205 x4
5 Y 0.000 0.349 0.300 x8

Values from the calculation:
E_form ... 0.14 eV per atom
N(E_F) ... 17.56 states/eV/f.u.
Crystal system ... orthorhombic
Size of the total moment ... 0.000 μB per atom
Uncorrected energy ... -5.5499 eV/atom

VASP calculation (PBE) on an optimized crystal structure of PrNd2Sm3Y6.

Unit cell a=6.277 b=10.869 c=11.888 alpha=90.00 beta=100.09 gamma=90.00
Space group C2/m (No. 12)
One atom of each set of equivalent atoms:
1 Pr 0.000 0.000 0.000 x2
2 Nd 0.000 0.333 0.000 x4
3 Sm 0.000 0.167 0.500 x4
4 Sm 0.000 0.500 0.500 x2
5 Y 0.249 0.000 0.749 x4
6 Y 0.249 0.333 0.748 x8

Values from the calculation:
E_form ... 0.01 eV per atom
N(E_F) ... 14.56 states/eV/f.u.
Crystal system ... monoclinic
Size of the total moment ... 0.000 μB per atom
Uncorrected energy ... -5.5940 eV/atom

VASP calculation (PBE) on an optimized crystal structure of PrNdSm6Y2.

Unit cell a=9.545 b=15.152 c=9.518 alpha=90.00 beta=95.26 gamma=90.00
Space group C2/c (No. 15)
One atom of each set of equivalent atoms:
1 Pr 0.000 0.091 0.250 x4
2 Nd 0.000 0.457 0.750 x4
3 Sm 0.068 0.330 0.439 x8
4 Sm 0.087 0.119 0.613 x8
5 Sm 0.222 0.274 0.820 x8
6 Y 0.248 0.453 0.056 x8

Values from the calculation:
E_form ... 0.12 eV per atom
N(E_F) ... 13.53 states/eV/f.u.
Crystal system ... monoclinic
Size of the total moment ... 0.000 μB per atom
Uncorrected energy ... -4.9608 eV/atom

VASP calculation (PBE) on an optimized crystal structure of Pr3NdSmY.

Unit cell a=6.087 b=11.302 c=12.165 alpha=90.00 beta=90.00 gamma=90.00
Space group Cmcm (No. 63)
One atom of each set of equivalent atoms:
1 Pr 0.000 0.148 0.250 x4
2 Pr 0.000 0.333 0.015 x8
3 Nd 0.000 0.000 0.000 x4
4 Sm 0.000 0.482 0.750 x4
5 Y 0.000 0.168 0.750 x4

Values from the calculation:
E_form ... 0.11 eV per atom
N(E_F) ... 11.30 states/eV/f.u.
Crystal system ... orthorhombic
Size of the total moment ... 0.000 μB per atom
Uncorrected energy ... -4.9390 eV/atom

VASP calculation (PBE) on an optimized crystal structure of PrNd3Sm6Y2.

Unit cell a=6.307 b=10.921 c=12.085 alpha=90.00 beta=100.02 gamma=90.00
Space group C2/m (No. 12)
One atom of each set of equivalent atoms:
1 Pr 0.000 0.000 0.000 x2
2 Nd 0.000 0.167 0.500 x4
3 Nd 0.000 0.500 0.500 x2
4 Sm 0.249 0.500 0.249 x4
5 Sm 0.250 0.167 0.249 x8
6 Y 0.000 0.333 0.000 x4

Values from the calculation:
E_form ... 0.01 eV per atom
N(E_F) ... 17.25 states/eV/f.u.
Crystal system ... monoclinic
Size of the total moment ... 0.000 μB per atom
Uncorrected energy ... -5.0134 eV/atom

VASP calculation (PBE) on an optimized crystal structure of PrNdSmY3.

Unit cell a=5.126 b=15.384 c=10.243 alpha=90.00 beta=90.00 gamma=90.00
Space group Cmcm (No. 63)
One atom of each set of equivalent atoms:
1 Pr 0.000 0.000 0.250 x4
2 Nd 0.000 0.500 0.000 x4
3 Sm 0.000 0.332 0.250 x4
4 Y 0.000 0.168 0.000 x8
5 Y 0.000 0.332 0.750 x4

Values from the calculation:
E_form ... 0.02 eV per atom
N(E_F) ... 9.08 states/eV/f.u.
Crystal system ... orthorhombic
Size of the total moment ... 0.000 μB per atom
Uncorrected energy ... -5.5914 eV/atom

VASP calculation (PBE) on an optimized crystal structure of Pr2NdSm2Y2.

Unit cell a=11.520 b=5.156 c=8.162 alpha=90.00 beta=98.08 gamma=90.00
Space group C2/m (No. 12)
One atom of each set of equivalent atoms:
1 Pr 0.143 0.000 0.428 x4
2 Nd 0.000 0.000 0.000 x2
3 Sm 0.071 0.500 0.716 x4
4 Y 0.215 0.500 0.141 x4

Values from the calculation:
E_form ... 0.01 eV per atom
N(E_F) ... 10.13 states/eV/f.u.
Crystal system ... monoclinic
Size of the total moment ... 0.000 μB per atom
Uncorrected energy ... -5.2274 eV/atom

VASP calculation (PBE) on an optimized crystal structure of PrNd3Sm2Y6.

Unit cell a=6.286 b=10.884 c=11.895 alpha=90.00 beta=100.10 gamma=90.00
Space group C2/m (No. 12)
One atom of each set of equivalent atoms:
1 Pr 0.000 0.000 0.000 x2
2 Nd 0.000 0.167 0.500 x4
3 Nd 0.000 0.500 0.500 x2
4 Sm 0.000 0.333 0.000 x4
5 Y 0.250 0.000 0.751 x4
6 Y 0.250 0.167 0.250 x8

Values from the calculation:
E_form ... 0.01 eV per atom
N(E_F) ... 14.45 states/eV/f.u.
Crystal system ... monoclinic
Size of the total moment ... 0.000 μB per atom
Uncorrected energy ... -5.5993 eV/atom

VASP calculation (PBE) on an optimized crystal structure of Pr2Nd4Sm2Y.

Unit cell a=15.551 b=5.193 c=8.186 alpha=90.00 beta=108.59 gamma=90.00
Space group C2/m (No. 12)
One atom of each set of equivalent atoms:
1 Pr 0.166 0.000 0.000 x4
2 Nd 0.055 0.000 0.334 x4
3 Nd 0.222 0.500 0.334 x4
4 Sm 0.111 0.500 0.667 x4
5 Y 0.000 0.500 0.000 x2

Values from the calculation:
E_form ... 0.01 eV per atom
N(E_F) ... 14.06 states/eV/f.u.
Crystal system ... monoclinic
Size of the total moment ... 0.000 μB per atom
Uncorrected energy ... -4.9357 eV/atom